[1]
# Pm2P4PdPt3 GGA-PBE relaxed
data_Pm2P4PdPt3
_cell_length_a 4.3139
_cell_length_b 4.3139
_cell_length_c 9.5016
_cell_angle_alpha 90.00
_cell_angle_beta 90.00
_cell_angle_gamma 90.00
_space_group_name_H-M_alt 'P -4 m 2'
_space_group_IT_number 115
loop_
_space_group_symop_operation_xyz
'x,y,z'
'y,-x,-z'
'-x,-y,z'
'-y,x,-z'
'-x,y,z'
'-y,-x,-z'
'x,-y,z'
'y,x,-z'
loop_
_atom_site_label
_atom_site_fract_x
_atom_site_fract_y
_atom_site_fract_z
Pm1 0.0000 0.5000 0.2464
P1 0.0000 0.0000 0.0000
P2 0.0000 0.5000 0.6327
P3 0.5000 0.5000 0.0000
Pd1 0.0000 0.0000 0.5000
Pt1 0.0000 0.5000 0.8843
Pt2 0.5000 0.5000 0.5000
# total DFT energy (no corrections)	-64.435	eV for the cell shown
# crystal system	tetragonal
# DOS at the Fermi energy	2.9	states/eV per cell
# volume	177	Å³/f.u.
# energy relative to the elements	-997.9	meV/atom


[2]
# Pm2PPd2Pt4 GGA-PBE relaxed
data_Pm2PPd2Pt4
_cell_length_a 6.2047
_cell_length_b 6.2047
_cell_length_c 8.6695
_cell_angle_alpha 90.00
_cell_angle_beta 90.00
_cell_angle_gamma 90.00
_space_group_name_H-M_alt 'I 4/m m m'
_space_group_IT_number 139
_space_group_name_Hall '-I 4 2'
loop_
_atom_site_label
_atom_site_fract_x
_atom_site_fract_y
_atom_site_fract_z
Pm1 0.0000 0.5000 0.2500
P1 0.0000 0.0000 0.0000
Pd1 0.0000 0.0000 0.2708
Pt1 0.2342 0.2342 0.5000
# total DFT energy (no corrections)	-115.144	eV for the cell shown
# crystal system	tetragonal
# DOS at the Fermi energy	6.8	states/eV per cell
# volume	167	Å³/f.u.
# energy relative to the elements	-901.4	meV/atom


[3]
# PmPuP2Pd2 GGA-PBE relaxed
data_PmPuP2Pd2
_cell_length_a 4.2061
_cell_length_b 4.2061
_cell_length_c 7.7282
_cell_angle_alpha 90.00
_cell_angle_beta 90.00
_cell_angle_gamma 120.00
_space_group_name_H-M_alt 'P -3 m 1'
_space_group_IT_number 164
_space_group_name_Hall '-P 3 2"'
loop_
_atom_site_label
_atom_site_fract_x
_atom_site_fract_y
_atom_site_fract_z
Pm1 0.0000 0.0000 0.0000
Pu1 0.0000 0.0000 0.5000
P1 0.3333 0.6667 0.7429
Pd1 0.3333 0.6667 0.2500
# total DFT energy (no corrections)	-46.733	eV for the cell shown
# crystal system	trigonal
# DOS at the Fermi energy	11.3	states/eV per cell
# volume	118	Å³/f.u.
# energy relative to the elements	-1074.2	meV/atom


[4]
# PmPuPPd GGA-PBE relaxed
data_PmPuPPd
_cell_length_a 7.0731
_cell_length_b 7.0731
_cell_length_c 7.0731
_cell_angle_alpha 90.00
_cell_angle_beta 90.00
_cell_angle_gamma 90.00
_space_group_name_H-M_alt 'F -4 3 m'
_space_group_IT_number 216
_space_group_name_Hall 'F -4 2 3'
loop_
_atom_site_label
_atom_site_fract_x
_atom_site_fract_y
_atom_site_fract_z
Pm1 0.0000 0.0000 0.0000
Pu1 0.0000 0.0000 0.5000
P1 0.2500 0.2500 0.2500
Pd1 0.2500 0.2500 0.7500
# total DFT energy (no corrections)	-130.382	eV for the cell shown
# crystal system	cubic
# DOS at the Fermi energy	41.2	states/eV per cell
# volume	88	Å³/f.u.
# energy relative to the elements	-727.6	meV/atom


[5]
# Pm2P3PdRh4 GGA-PBE relaxed
data_Pm2P3PdRh4
_cell_length_a 4.0861
_cell_length_b 4.0861
_cell_length_c 10.2217
_cell_angle_alpha 90.00
_cell_angle_beta 90.00
_cell_angle_gamma 90.00
_space_group_name_H-M_alt 'P -4 m 2'
_space_group_IT_number 115
loop_
_space_group_symop_operation_xyz
'x,y,z'
'y,-x,-z'
'-x,-y,z'
'-y,x,-z'
'-x,y,z'
'-y,-x,-z'
'x,-y,z'
'y,x,-z'
loop_
_atom_site_label
_atom_site_fract_x
_atom_site_fract_y
_atom_site_fract_z
Pm1 0.0000 0.5000 0.2411
P1 0.0000 0.0000 0.0000
P2 0.0000 0.5000 0.6292
Pd1 0.5000 0.5000 0.0000
Rh1 0.0000 0.0000 0.5000
Rh2 0.0000 0.5000 0.8478
Rh3 0.5000 0.5000 0.5000
# total DFT energy (no corrections)	-69.783	eV for the cell shown
# crystal system	tetragonal
# DOS at the Fermi energy	4.0	states/eV per cell
# volume	171	Å³/f.u.
# energy relative to the elements	-945.3	meV/atom


[6]
# Pm2SbP3Pd4 GGA-PBE relaxed
data_Pm2SbP3Pd4
_cell_length_a 4.1666
_cell_length_b 4.1666
_cell_length_c 10.8418
_cell_angle_alpha 90.00
_cell_angle_beta 90.00
_cell_angle_gamma 90.00
_space_group_name_H-M_alt 'P -4 m 2'
_space_group_IT_number 115
loop_
_space_group_symop_operation_xyz
'x,y,z'
'y,-x,-z'
'-x,-y,z'
'-y,x,-z'
'-x,y,z'
'-y,-x,-z'
'x,-y,z'
'y,x,-z'
loop_
_atom_site_label
_atom_site_fract_x
_atom_site_fract_y
_atom_site_fract_z
Pm1 0.0000 0.5000 0.2238
Sb1 0.0000 0.0000 0.5000
P1 0.0000 0.5000 0.8708
P2 0.5000 0.5000 0.5000
Pd1 0.0000 0.0000 0.0000
Pd2 0.0000 0.5000 0.6523
Pd3 0.5000 0.5000 0.0000
# total DFT energy (no corrections)	-59.146	eV for the cell shown
# crystal system	tetragonal
# DOS at the Fermi energy	4.9	states/eV per cell
# uncorrected formation energy	-0.852	eV/atom
# volume	188	Å³/f.u.


[7]
# PmSbPPd GGA-PBE relaxed
data_PmSbPPd
_cell_length_a 6.9773
_cell_length_b 6.9773
_cell_length_c 6.9773
_cell_angle_alpha 90.00
_cell_angle_beta 90.00
_cell_angle_gamma 90.00
_space_group_name_H-M_alt 'F -4 3 m'
_space_group_IT_number 216
_space_group_name_Hall 'F -4 2 3'
loop_
_atom_site_label
_atom_site_fract_x
_atom_site_fract_y
_atom_site_fract_z
Pm1 0.0000 0.0000 0.0000
Sb1 0.0000 0.0000 0.5000
P1 0.2500 0.2500 0.2500
Pd1 0.2500 0.2500 0.7500
# total DFT energy (no corrections)	-86.108	eV for the cell shown
# crystal system	cubic
# DOS at the Fermi energy	9.8	states/eV per cell
# uncorrected formation energy	-0.513	eV/atom
# volume	85	Å³/f.u.


[8]
# Pm4PPdSe2 GGA-PBE relaxed
data_Pm4PPdSe2
_cell_length_a 7.2836
_cell_length_b 4.1410
_cell_length_c 7.2850
_cell_angle_alpha 90.00
_cell_angle_beta 108.78
_cell_angle_gamma 90.00
_space_group_name_H-M_alt 'P 1 2/m 1'
_space_group_IT_number 10
loop_
_space_group_symop_operation_xyz
'x,y,z'
'-x,-y,-z'
'-x,y,-z'
'x,-y,z'
loop_
_atom_site_label
_atom_site_fract_x
_atom_site_fract_y
_atom_site_fract_z
Pm1 0.2381 0.0000 0.2366
Pm2 0.2478 0.5000 0.7600
P1 0.0000 0.5000 0.0000
Pd1 0.5000 0.0000 0.0000
Se1 0.0000 0.0000 0.5000
Se2 0.5000 0.5000 0.5000
# total DFT energy (no corrections)	-48.491	eV for the cell shown
# crystal system	monoclinic
# DOS at the Fermi energy	5.5	states/eV per cell
# uncorrected formation energy	-1.490	eV/atom
# volume	208	Å³/f.u.


[9]
# PmSmP2Pd2 GGA-PBE relaxed
data_PmSmP2Pd2
_cell_length_a 4.2198
_cell_length_b 4.2198
_cell_length_c 7.7502
_cell_angle_alpha 90.00
_cell_angle_beta 90.00
_cell_angle_gamma 120.00
_space_group_name_H-M_alt 'P -3 m 1'
_space_group_IT_number 164
_space_group_name_Hall '-P 3 2"'
loop_
_atom_site_label
_atom_site_fract_x
_atom_site_fract_y
_atom_site_fract_z
Pm1 0.0000 0.0000 0.0000
Sm1 0.0000 0.0000 0.5000
P1 0.3333 0.6667 0.7489
Pd1 0.3333 0.6667 0.2518
# total DFT energy (no corrections)	-38.147	eV for the cell shown
# crystal system	trigonal
# DOS at the Fermi energy	2.0	states/eV per cell
# volume	120	Å³/f.u.
# energy relative to the elements	-1245.3	meV/atom


[10]
# PmSn2P2Pd7 GGA-PBE relaxed
data_PmSn2P2Pd7
_cell_length_a 6.4758
_cell_length_b 5.9668
_cell_length_c 11.6413
_cell_angle_alpha 90.00
_cell_angle_beta 90.52
_cell_angle_gamma 90.00
_space_group_name_H-M_alt 'C 1 2/m 1'
_space_group_IT_number 12
loop_
_space_group_symop_operation_xyz
'x,y,z'
'-x,-y,-z'
'-x,y,-z'
'x,-y,z'
'x+1/2,y+1/2,z'
'-x+1/2,-y+1/2,-z'
'-x+1/2,y+1/2,-z'
'x+1/2,-y+1/2,z'
loop_
_atom_site_label
_atom_site_fract_x
_atom_site_fract_y
_atom_site_fract_z
Pm1 0.0000 0.0000 0.0000
Sn1 0.1612 0.0000 0.6057
P1 0.1678 0.5000 0.8275
Pd1 0.0000 0.5000 0.0000
Pd2 0.0863 0.2506 0.2453
Pd3 0.1489 0.5000 0.5953
# total DFT energy (no corrections)	-133.808	eV for the cell shown
# crystal system	monoclinic
# DOS at the Fermi energy	10.0	states/eV per cell
# volume	225	Å³/f.u.
# energy relative to the elements	-581.5	meV/atom


[11]
# SrPmPPd GGA-PBE relaxed
data_SrPmPPd
_cell_length_a 7.2704
_cell_length_b 7.2704
_cell_length_c 7.2704
_cell_angle_alpha 90.00
_cell_angle_beta 90.00
_cell_angle_gamma 90.00
_space_group_name_H-M_alt 'F -4 3 m'
_space_group_IT_number 216
_space_group_name_Hall 'F -4 2 3'
loop_
_atom_site_label
_atom_site_fract_x
_atom_site_fract_y
_atom_site_fract_z
Sr1 0.0000 0.0000 0.0000
Pm1 0.0000 0.0000 0.5000
P1 0.2500 0.2500 0.7500
Pd1 0.2500 0.2500 0.2500
# total DFT energy (no corrections)	-80.899	eV for the cell shown
# crystal system	cubic
# DOS at the Fermi energy	3.8	states/eV per cell
# volume	96	Å³/f.u.
# energy relative to the elements	-797.4	meV/atom


[12]
# SrPmP2Pd4 GGA-PBE relaxed
data_SrPmP2Pd4
_cell_length_a 4.1265
_cell_length_b 4.1265
_cell_length_c 9.9284
_cell_angle_alpha 90.00
_cell_angle_beta 90.00
_cell_angle_gamma 90.00
_space_group_name_H-M_alt 'P 4/m m m'
_space_group_IT_number 123
_space_group_name_Hall '-P 4 2'
loop_
_atom_site_label
_atom_site_fract_x
_atom_site_fract_y
_atom_site_fract_z
Sr1 0.0000 0.0000 0.0000
Pm1 0.0000 0.0000 0.5000
P1 0.5000 0.5000 0.1647
Pd1 0.0000 0.5000 0.2820
# total DFT energy (no corrections)	-43.873	eV for the cell shown
# crystal system	tetragonal
# DOS at the Fermi energy	5.4	states/eV per cell
# volume	169	Å³/f.u.
# energy relative to the elements	-731.2	meV/atom


> What is the total DFT energy (no corrections) in the seventh record?

-86.108 eV for the cell shown